RbZrAlCu2: relaxed, GGA-PBE.

Cell and atoms, written as POSCAR:
```
RbZrAlCu2
1.0
-4.437 0.737 1.819
2.006 -0.167 4.962
0.740 4.793 -0.138
Cu Al Rb Zr
2 1 1 1
Cartesian
-2.219 0.369 0.909
0.370 2.397 -0.069
-0.846 2.682 3.322
0.000 0.000 0.000
1.003 -0.084 2.481
```

Values from the calculation:
- energy of formation (meV per atom) = 1927
- symmetry = P4/mmm, No. 123
- total DFT energy (no corrections) (eV/atom) = -2.363
- D(E_F) (states/eV per atom) = 0.596